The following is a DFT calculation (GGA-PBE) of a relaxed structure of Y2Ho2Sc3.

abc: 9.319 9.319 9.319
angles: 90.00 90.00 90.00
Space group I2_13 (No. 199)
Unique sites:
Y 0.210 0.210 0.210 x8
Ho 0.089 0.411 0.589 x8
Sc 0.000 0.250 0.948 x12

Values from the calculation:
Total energy ... -5.62 eV/atom